InSn2Rh4, relaxed, DFT PBE; mass density = 8.276 Mg/m³; total moment = 0.00 Bohr magnetons per cell; calculated total energy = -5.2057 eV per atom
1.0
4.7964 0.0000 0.0000
0.0000 4.7964 0.0000
0.0000 0.0000 13.3248
In Sn Rh
2 4 8
direct
0.0000 0.0000 0.0000 In
0.5000 0.5000 0.5000 In
0.0000 0.0000 0.3821 Sn
0.0000 0.0000 0.6179 Sn
0.5000 0.5000 0.1179 Sn
0.5000 0.5000 0.8821 Sn
0.0000 0.0000 0.1934 Rh
0.0000 0.0000 0.8066 Rh
0.0000 0.5000 0.0000 Rh
0.0000 0.5000 0.5000 Rh
0.5000 0.0000 0.0000 Rh
0.5000 0.0000 0.5000 Rh
0.5000 0.5000 0.3066 Rh
0.5000 0.5000 0.6934 Rh